Entry 1:
Mg4TaRh5 | PBE-GGA | relaxed

Cell: 3.168 3.168 15.452 Å, 90.00 90.00 90.00°
Sites, in units of the cell vectors:
Mg: 0.000 0.000 0.099
Mg: 0.000 0.000 0.292
Mg: 0.000 0.000 0.708
Mg: 0.000 0.000 0.901
Ta: 0.000 0.000 0.500
Rh: 0.500 0.500 0.000
Rh: 0.500 0.500 0.200
Rh: 0.500 0.500 0.404
Rh: 0.500 0.500 0.596
Rh: 0.500 0.500 0.800

Properties
* SG: P4/mmm (123)
* calculated formation energy: -0.548 eV per atom
* total moment: 0.000 μB/atom
* raw total energy: -6.047 eV/atom

***

Entry 2:
Tb2Mn2GaCo5 | PBE-GGA | relaxed

Cell: 9.082 9.082 3.598 Å, 90.00 90.00 90.00°
Sites, in units of the cell vectors:
Tb: 0.182 0.318 0.000
Tb: 0.318 0.818 0.000
Tb: 0.682 0.182 0.000
Tb: 0.818 0.682 0.000
Mn: 0.117 0.617 0.000
Mn: 0.383 0.117 0.000
Mn: 0.617 0.883 0.000
Mn: 0.883 0.383 0.000
Ga: 0.000 0.000 0.000
Ga: 0.500 0.500 0.000
Co: 0.000 0.500 0.500
Co: 0.055 0.800 0.500
Co: 0.200 0.055 0.500
Co: 0.300 0.555 0.500
Co: 0.445 0.300 0.500
Co: 0.500 0.000 0.500
Co: 0.555 0.700 0.500
Co: 0.700 0.445 0.500
Co: 0.800 0.945 0.500
Co: 0.945 0.200 0.500

Properties
* SG: P4/mbm (127)
* calculated formation energy: 0.007 eV per atom
* total moment: 1.034 μB/atom
* raw total energy: -6.608 eV/atom

***

Entry 3:
Ho5Er4In2 | PBE-GGA | relaxed

Cell: 12.312 12.312 8.009 Å, 90.35 90.35 16.03°
Sites, in units of the cell vectors:
Ho: 0.000 0.000 0.000
Ho: 0.275 0.275 0.702
Ho: 0.339 0.339 0.099
Ho: 0.661 0.661 0.901
Ho: 0.725 0.725 0.298
Er: 0.411 0.411 0.736
Er: 0.456 0.456 0.341
Er: 0.544 0.544 0.659
Er: 0.589 0.589 0.264
In: 0.153 0.153 0.561
In: 0.847 0.847 0.439

Properties
* SG: C2/m (12)
* calculated formation energy: 0.038 eV per atom
* total moment: 0.000 μB/atom
* raw total energy: -4.200 eV/atom